A plane-wave DFT calculation with PBE was carried out for a geometry-optimized Li4Tm3Ge4 structure.

Results
M_tot: 0.00 μB/cell
E: -4.23 eV per atom
symmetry: Immm
ΔE_f: -7.03 eV per formula unit
DOS at the Fermi energy: 2.49 states/eV/f.u.

Geometry as POSCAR:
```
Li4Tm3Ge4
1.0
-1.1324 -3.9258 -1.2436
1.6950 -2.3900 6.0014
-6.8498 4.3185 -0.0616
Li Tm Ge
4 3 4
direct
0.3273 0.1370 0.6545
0.6727 0.4824 0.3455
0.6727 0.8630 0.3455
0.3273 0.5176 0.6545
0.1273 0.1273 0.2546
0.8727 0.8727 0.7454
0.0000 0.5000 0.0000
0.2149 0.7149 0.4297
0.7851 0.2851 0.5703
0.5000 0.8078 0.0000
0.5000 0.1922 0.0000
```